Record 1
TiIn3Cl: optimized geometry, PBE.

abc: 5.5327 5.5327 5.5327
angles: 90.00 90.00 90.00
Last column: nearest neighbours and their distance in Å.
Element x y z (fractional)
Ti: 0.0000 0.0000 0.0000  6 In 2.77
In: 0.0000 0.0000 0.5000  2 Ti 2.77
In: 0.0000 0.5000 0.0000  2 Ti 2.77
In: 0.5000 0.0000 0.0000  2 Ti 2.77
Cl: 0.5000 0.5000 0.5000  12 In 3.91

Summary:
V in A^3/atom: 33.87
SG: Pm-3m (221)
Formation energy (no corrections) in eV/f.u.: 1.378

Record 2
LaVN2: optimized geometry, PBE.

abc: 5.8716 5.8716 5.8716
angles: 90.00 90.00 90.00
Last column: nearest neighbours and their distance in Å.
Element x y z (fractional)
La: 0.0000 0.0000 0.0000  8 N 2.54
La: 0.0000 0.5000 0.5000  8 N 2.54
La: 0.5000 0.0000 0.5000  8 N 2.54
La: 0.5000 0.5000 0.0000  8 N 2.54
V: 0.0000 0.0000 0.5000  8 N 2.54
V: 0.0000 0.5000 0.0000  8 N 2.54
V: 0.5000 0.0000 0.0000  8 N 2.54
V: 0.5000 0.5000 0.5000  8 N 2.54
N: 0.2500 0.2500 0.2500  4 La 2.54, 4 V 2.54
N: 0.2500 0.2500 0.7500  4 La 2.54, 4 V 2.54
N: 0.2500 0.7500 0.2500  4 La 2.54, 4 V 2.54
N: 0.2500 0.7500 0.7500  4 La 2.54, 4 V 2.54
N: 0.7500 0.2500 0.2500  4 La 2.54, 4 V 2.54
N: 0.7500 0.2500 0.7500  4 La 2.54, 4 V 2.54
N: 0.7500 0.7500 0.2500  4 La 2.54, 4 V 2.54
N: 0.7500 0.7500 0.7500  4 La 2.54, 4 V 2.54

Summary:
V in A^3/atom: 12.65
SG: Fm-3m (225)
Formation energy (no corrections) in eV/f.u.: -0.972

Record 3
Zn2CdAs: optimized geometry, PBE.

abc: 2.9213 4.2586 6.4273
angles: 90.00 101.13 90.00
Last column: nearest neighbours and their distance in Å.
Element x y z (fractional)
Zn: 0.0000 0.0000 0.0000  2 As 2.53, 2 Zn 2.62
Zn: 0.1792 0.5000 0.2405  4 Zn 2.62-2.92, 1 As 2.87, 4 Cd 2.88
Cd: 0.7677 0.0000 0.4431  5 Zn 2.88-3.05, 2 Cd 2.92, 2 As 3.03
As: 0.9691 0.5000 0.7847  2 Zn 2.53

Summary:
V in A^3/atom: 19.61
SG: Pm (6)
ΔE_f in kJ/mol of formula units: 45.6

Record 4
ZnIn2Cl4: optimized geometry, PBE.

abc: 14.8568 9.7558 6.8122
angles: 90.00 90.00 90.00
Last column: nearest neighbours and their distance in Å.
Element x y z (fractional)
Zn: 0.0976 0.2500 0.0912  4 Cl 2.28-2.33
Zn: 0.4024 0.7500 0.5912  4 Cl 2.28-2.33
Zn: 0.5976 0.2500 0.4088  4 Cl 2.28-2.33
Zn: 0.9024 0.7500 0.9088  4 Cl 2.28-2.33
In: 0.0000 0.0000 0.5000  6 Cl 3.16-3.26
In: 0.0000 0.5000 0.5000  6 Cl 3.16-3.26
In: 0.2247 0.7500 0.0261  6 Cl 3.14-3.42
In: 0.2753 0.2500 0.5261  6 Cl 3.14-3.42
In: 0.5000 0.0000 0.0000  6 Cl 3.16-3.26
In: 0.5000 0.5000 0.0000  6 Cl 3.16-3.26
In: 0.7247 0.7500 0.4739  6 Cl 3.14-3.42
In: 0.7753 0.2500 0.9739  6 Cl 3.14-3.42
Cl: 0.0468 0.7500 0.7761  1 Zn 2.33
Cl: 0.0846 0.2500 0.7580  1 Zn 2.28
Cl: 0.1720 0.0636 0.2195  1 Zn 2.30
Cl: 0.1720 0.4364 0.2195  1 Zn 2.30
Cl: 0.3280 0.5636 0.7195  1 Zn 2.30
Cl: 0.3280 0.9364 0.7195  1 Zn 2.30
Cl: 0.4154 0.7500 0.2580  1 Zn 2.28
Cl: 0.4532 0.2500 0.2761  1 Zn 2.33
Cl: 0.5468 0.7500 0.7239  1 Zn 2.33
Cl: 0.5846 0.2500 0.7420  1 Zn 2.28
Cl: 0.6720 0.0636 0.2805  1 Zn 2.30
Cl: 0.6720 0.4364 0.2805  1 Zn 2.30
Cl: 0.8280 0.5636 0.7805  1 Zn 2.30
Cl: 0.8280 0.9364 0.7805  1 Zn 2.30
Cl: 0.9154 0.7500 0.2420  1 Zn 2.28
Cl: 0.9532 0.2500 0.2239  1 Zn 2.33

Summary:
V in A^3/atom: 35.26
SG: Pnma (62)
Formation energy (no corrections) in eV/f.u.: -6.818

Record 5
Rb7SeBr5: optimized geometry, PBE.

abc: 8.4433 8.4433 28.6591
angles: 90.01 90.01 34.09
Last column: nearest neighbours and their distance in Å.
Element x y z (fractional)
Rb: 0.0000 0.0000 0.0000  3 Br 3.41-3.59, 2 Se 3.53
Rb: 0.0006 0.0006 0.1343  3 Br 3.41-3.59, 2 Se 3.53
Rb: 0.1700 0.1700 0.7798  6 Br 3.47-3.51
Rb: 0.1714 0.1714 0.3545  6 Br 3.47-3.51
Rb: 0.2395 0.2395 0.0672  2 Se 3.34, 2 Br 3.43
Rb: 0.3721 0.3721 0.5672  2 Se 3.34, 2 Br 3.42-3.43
Rb: 0.4398 0.4398 0.8545  6 Br 3.47-3.51
Rb: 0.4412 0.4412 0.2799  6 Br 3.47-3.51
Rb: 0.6110 0.6110 0.6344  3 Br 3.41-3.59, 2 Se 3.53
Rb: 0.6120 0.6120 0.4999  3 Br 3.41-3.59, 2 Se 3.53
Rb: 0.7124 0.7124 0.9318  5 Br 3.47-3.61
Rb: 0.7136 0.7136 0.2028  5 Br 3.47-3.61
Rb: 0.8980 0.8980 0.7026  5 Br 3.47-3.61
Rb: 0.8995 0.8995 0.4323  5 Br 3.47-3.62
Se: 0.0114 0.0114 0.5669  6 Rb 3.34-3.53
Se: 0.6002 0.6002 0.0670  6 Rb 3.34-3.53
Br: 0.0807 0.0807 0.8902  6 Rb 3.41-3.51
Br: 0.0819 0.0819 0.2440  6 Rb 3.41-3.51
Br: 0.2601 0.2601 0.6689  6 Rb 3.43-3.59
Br: 0.2609 0.2609 0.4655  6 Rb 3.42-3.59
Br: 0.3514 0.3514 0.1689  6 Rb 3.43-3.59
Br: 0.3507 0.3507 0.9654  6 Rb 3.43-3.59
Br: 0.5293 0.5293 0.7441  6 Rb 3.41-3.51
Br: 0.5306 0.5306 0.3903  6 Rb 3.41-3.51
Br: 0.8049 0.8049 0.8171  6 Rb 3.47-3.61
Br: 0.8064 0.8064 0.3173  6 Rb 3.47-3.62

Summary:
V in A^3/atom: 44.05
SG: Cm (8)
Formation energy (no corrections) in eV/f.u.: -20.832

Record 6
AgAsIr2: optimized geometry, PBE.

abc: 2.9369 2.9369 25.4260
angles: 90.00 90.00 120.00
Last column: nearest neighbours and their distance in Å.
Element x y z (fractional)
Ag: 0.0000 0.0000 0.0000  6 Ir 2.91, 6 Ag 2.94
Ag: 0.3333 0.6667 0.6667  6 Ir 2.91, 6 Ag 2.94
Ag: 0.6667 0.3333 0.3333  6 Ir 2.91, 6 Ag 2.94
As: 0.0000 0.0000 0.5000  6 Ir 2.53
As: 0.3333 0.6667 0.1667  6 Ir 2.53
As: 0.6667 0.3333 0.8333  6 Ir 2.53
Ir: 0.0000 0.0000 0.2403  3 As 2.53
Ir: 0.0000 0.0000 0.7597  3 As 2.53
Ir: 0.3333 0.6667 0.4264  3 As 2.53
Ir: 0.3333 0.6667 0.9069  3 As 2.53
Ir: 0.6667 0.3333 0.0931  3 As 2.53
Ir: 0.6667 0.3333 0.5736  3 As 2.53

Summary:
V in A^3/atom: 15.83
SG: R-3m (166)
ΔE_f in kJ/mol of formula units: 85.9

Record 7
Pm4Hg2N: optimized geometry, PBE.

abc: 5.0064 5.0064 15.0551
angles: 90.00 90.00 90.00
Last column: nearest neighbours and their distance in Å.
Element x y z (fractional)
Pm: 0.0000 0.0000 0.1671  1 N 2.52
Pm: 0.0000 0.0000 0.8329  1 N 2.52
Pm: 0.0000 0.5000 0.0000  2 N 2.50
Pm: 0.0000 0.5000 0.5000  2 N 2.50
Pm: 0.5000 0.0000 0.0000  2 N 2.50
Pm: 0.5000 0.0000 0.5000  2 N 2.50
Pm: 0.5000 0.5000 0.3329  1 N 2.52
Pm: 0.5000 0.5000 0.6671  1 N 2.52
Hg: 0.0000 0.0000 0.3697  5 Pm 3.05-3.18
Hg: 0.0000 0.0000 0.6303  5 Pm 3.05-3.18
Hg: 0.5000 0.5000 0.1303  5 Pm 3.05-3.18
Hg: 0.5000 0.5000 0.8697  5 Pm 3.05-3.18
N: 0.0000 0.0000 0.0000  6 Pm 2.50-2.52
N: 0.5000 0.5000 0.5000  6 Pm 2.50-2.52

Summary:
V in A^3/atom: 26.95
SG: I4/mmm (139)
Formation energy (no corrections) in eV/f.u.: -4.638

Record 8
Er2AlHg: optimized geometry, PBE.

abc: 7.2985 7.2985 7.2985
angles: 90.00 90.00 90.00
Last column: nearest neighbours and their distance in Å.
Element x y z (fractional)
Er: 0.2500 0.2500 0.2500  4 Hg 3.16, 4 Al 3.16
Er: 0.2500 0.2500 0.7500  4 Hg 3.16, 4 Al 3.16
Er: 0.2500 0.7500 0.2500  4 Hg 3.16, 4 Al 3.16
Er: 0.2500 0.7500 0.7500  4 Hg 3.16, 4 Al 3.16
Er: 0.7500 0.2500 0.2500  4 Hg 3.16, 4 Al 3.16
Er: 0.7500 0.2500 0.7500  4 Hg 3.16, 4 Al 3.16
Er: 0.7500 0.7500 0.2500  4 Hg 3.16, 4 Al 3.16
Er: 0.7500 0.7500 0.7500  4 Hg 3.16, 4 Al 3.16
Al: 0.0000 0.0000 0.0000  8 Er 3.16
Al: 0.0000 0.5000 0.5000  8 Er 3.16
Al: 0.5000 0.0000 0.5000  8 Er 3.16
Al: 0.5000 0.5000 0.0000  8 Er 3.16
Hg: 0.0000 0.0000 0.5000  8 Er 3.16
Hg: 0.0000 0.5000 0.0000  8 Er 3.16
Hg: 0.5000 0.0000 0.0000  8 Er 3.16
Hg: 0.5000 0.5000 0.5000  8 Er 3.16

Summary:
V in A^3/atom: 24.30
SG: Fm-3m (225)
ΔE_f in kJ/mol of formula units: -152.8

Record 9
BaLi2TaO4: optimized geometry, PBE.

abc: 5.5604 5.5949 7.5415
angles: 90.00 90.00 90.00
Last column: nearest neighbours and their distance in Å.
Element x y z (fractional)
Ba: 0.0000 0.0000 0.0000  8 O 2.79-2.94
Ba: 0.5000 0.5000 0.5000  8 O 2.79-2.94
Li: 0.0000 0.5000 0.2622  2 O 1.96
Li: 0.0000 0.5000 0.7378  2 O 1.96
Li: 0.5000 0.0000 0.2378  2 O 1.96
Li: 0.5000 0.0000 0.7622  2 O 1.96
Ta: 0.0000 0.0000 0.5000  4 O 1.91
Ta: 0.5000 0.5000 0.0000  4 O 1.91
O: 0.2137 0.1544 0.3374  1 Ta 1.91, 1 Li 1.96
O: 0.2137 0.8456 0.6626  1 Ta 1.91, 1 Li 1.96
O: 0.2863 0.3456 0.8374  1 Ta 1.91, 1 Li 1.96
O: 0.2863 0.6544 0.1626  1 Ta 1.91, 1 Li 1.96
O: 0.7137 0.3456 0.1626  1 Ta 1.91, 1 Li 1.96
O: 0.7137 0.6544 0.8374  1 Ta 1.91, 1 Li 1.96
O: 0.7863 0.1544 0.6626  1 Ta 1.91, 1 Li 1.96
O: 0.7863 0.8456 0.3374  1 Ta 1.91, 1 Li 1.96

Summary:
V in A^3/atom: 14.66
SG: I222 (23)
Formation energy (no corrections) in eV/f.u.: -18.821

Record 10
AcDyCdBi: optimized geometry, PBE.

abc: 7.9685 7.9685 7.9685
angles: 90.00 90.00 90.00
Last column: nearest neighbours and their distance in Å.
Element x y z (fractional)
Ac: 0.0000 0.0000 0.0000  4 Bi 3.45, 4 Cd 3.45
Ac: 0.0000 0.5000 0.5000  4 Cd 3.45, 4 Bi 3.45
Ac: 0.5000 0.0000 0.5000  4 Cd 3.45, 4 Bi 3.45
Ac: 0.5000 0.5000 0.0000  4 Cd 3.45, 4 Bi 3.45
Dy: 0.0000 0.0000 0.5000  4 Cd 3.45, 4 Bi 3.45
Dy: 0.0000 0.5000 0.0000  4 Cd 3.45, 4 Bi 3.45
Dy: 0.5000 0.0000 0.0000  4 Cd 3.45, 4 Bi 3.45
Dy: 0.5000 0.5000 0.5000  4 Cd 3.45, 4 Bi 3.45
Cd: 0.2500 0.2500 0.2500  4 Ac 3.45, 4 Dy 3.45
Cd: 0.2500 0.7500 0.7500  4 Ac 3.45, 4 Dy 3.45
Cd: 0.7500 0.2500 0.7500  4 Ac 3.45, 4 Dy 3.45
Cd: 0.7500 0.7500 0.2500  4 Ac 3.45, 4 Dy 3.45
Bi: 0.2500 0.2500 0.7500  4 Ac 3.45, 4 Dy 3.45
Bi: 0.2500 0.7500 0.2500  4 Ac 3.45, 4 Dy 3.45
Bi: 0.7500 0.2500 0.2500  4 Ac 3.45, 4 Dy 3.45
Bi: 0.7500 0.7500 0.7500  4 Ac 3.45, 4 Dy 3.45

Summary:
V in A^3/atom: 31.62
SG: F-43m (216)
ΔE_f in kJ/mol of formula units: -160.3

Record 11
Li2Cd5Hg: optimized geometry, PBE.

abc: 6.2300 12.7474 4.1966
angles: 90.00 90.00 90.00
Last column: nearest neighbours and their distance in Å.
Element x y z (fractional)
Li: 0.2379 0.1212 0.0000  2 Hg 3.00, 10 Cd 3.07-3.20
Li: 0.2621 0.6212 0.0000  2 Hg 3.00, 10 Cd 3.07-3.20
Li: 0.7379 0.3788 0.0000  2 Hg 3.00, 10 Cd 3.07-3.20
Li: 0.7621 0.8788 0.0000  2 Hg 3.00, 10 Cd 3.07-3.20
Cd: 0.0000 0.5000 0.5000  6 Cd 3.06-3.15, 4 Li 3.08, 2 Hg 3.11
Cd: 0.0126 0.7471 0.5000  7 Cd 3.04-3.15, 4 Li 3.07-3.11, 1 Hg 3.22
Cd: 0.2429 0.3724 0.0000  6 Cd 3.04-3.06, 4 Li 3.09-3.20, 2 Hg 3.10
Cd: 0.2571 0.8724 0.0000  6 Cd 3.04-3.06, 4 Li 3.09-3.20, 2 Hg 3.10
Cd: 0.4874 0.2471 0.5000  7 Cd 3.04-3.15, 4 Li 3.07-3.11, 1 Hg 3.22
Cd: 0.5000 0.0000 0.5000  6 Cd 3.06-3.15, 4 Li 3.08, 2 Hg 3.11
Cd: 0.5126 0.7529 0.5000  7 Cd 3.04-3.15, 4 Li 3.07-3.11, 1 Hg 3.22
Cd: 0.7429 0.1276 0.0000  6 Cd 3.04-3.06, 4 Li 3.09-3.20, 2 Hg 3.10
Cd: 0.7571 0.6276 0.0000  6 Cd 3.04-3.06, 4 Li 3.09-3.20, 2 Hg 3.10
Cd: 0.9874 0.2529 0.5000  7 Cd 3.04-3.15, 4 Li 3.07-3.11, 1 Hg 3.22
Hg: 0.0000 0.0000 0.5000  4 Li 3.00, 8 Cd 3.10-3.22
Hg: 0.5000 0.5000 0.5000  4 Li 3.00, 8 Cd 3.10-3.22

Summary:
V in A^3/atom: 20.83
SG: Pbam (55)
ΔE_f in kJ/mol of formula units: -124.9

Record 12
TbSc3Al8: optimized geometry, PBE.

abc: 5.4114 5.4114 8.8624
angles: 90.00 90.00 120.00
Last column: nearest neighbours and their distance in Å.
Element x y z (fractional)
Tb: 0.0000 0.0000 0.0000  12 Al 3.18-3.22, 4 Sc 3.25-3.36
Sc: 0.0000 0.0000 0.3669  12 Al 3.14-3.18, 1 Tb 3.25, 3 Sc 3.34
Sc: 0.6667 0.3333 0.4997  12 Al 3.14-3.18, 4 Sc 3.20-3.34
Sc: 0.6667 0.3333 0.8610  12 Al 3.15-3.27, 1 Sc 3.20, 3 Tb 3.36
Al: 0.1619 0.3239 0.6794  6 Al 2.63-2.78
Al: 0.1619 0.8381 0.6794  6 Al 2.63-2.78
Al: 0.3333 0.6667 0.4348  6 Al 2.70-2.72
Al: 0.3333 0.6667 0.9319  6 Al 2.75-2.78
Al: 0.5047 0.0094 0.1878  6 Al 2.63-2.78
Al: 0.5047 0.4953 0.1878  6 Al 2.63-2.78
Al: 0.6761 0.8381 0.6794  6 Al 2.63-2.78
Al: 0.9906 0.4953 0.1878  6 Al 2.63-2.78

Summary:
V in A^3/atom: 18.73
SG: P3m1 (156)
ΔE_f in kJ/mol of formula units: -557.5

| no. | uncorrected energy (eV/atom) |
| --- | --- |
| 1 | -3.316 |
| 2 | -7.917 |
| 3 | -1.910 |
| 4 | -2.994 |
| 5 | -3.035 |
| 6 | -6.083 |
| 7 | -4.653 |
| 8 | -3.689 |
| 9 | -7.032 |
| 10 | -3.792 |
| 11 | -1.250 |
| 12 | -4.945 |